Entry 1:
VASP calculation (PBE-GGA) on NaPF5 after structural relaxation.

Lattice parameters (Å, degrees): 5.1171 5.3803 8.2924 93.79 101.84 103.07
Sites, in units of the cell vectors:
Na 0.0000 0.0000 0.0000
Na 0.0097 0.6144 0.5485
P 0.5249 0.9797 0.3096
P 0.5753 0.4628 0.8514
F 0.2907 0.7668 0.1721
F 0.2920 0.2421 0.8747
F 0.3491 0.1934 0.2630
F 0.3571 0.8962 0.4535
F 0.4147 0.4712 0.6602
F 0.6956 0.0627 0.1654
F 0.7009 0.7640 0.3536
F 0.7170 0.2282 0.8178
F 0.7597 0.1932 0.4454
F 0.8920 0.6781 0.7893

For the total energy, the calculation gives -4.888 eV/atom.

***

Entry 2:
VASP calculation (PBE-GGA) on BaTaGaB2 after structural relaxation.

Lattice parameters (Å, degrees): 4.5555 4.5555 5.0326 90.00 90.00 90.00
Sites, in units of the cell vectors:
Ba 0.0000 0.0000 0.0000
Ta 0.5000 0.5000 0.5000
Ga 0.5000 0.5000 0.0000
B 0.0000 0.5000 0.5000
B 0.5000 0.0000 0.5000

For the total energy, the calculation gives -5.587 eV/atom.

***

Entry 3:
VASP calculation (PBE-GGA) on Tm5Ag6 after structural relaxation.

Lattice parameters (Å, degrees): 8.6889 8.6889 8.6889 146.76 130.90 60.59
Sites, in units of the cell vectors:
Tm 0.0000 0.0000 0.0000
Tm 0.1701 0.6701 0.5000
Tm 0.3441 0.3441 0.0000
Tm 0.6559 0.6559 0.0000
Tm 0.8299 0.3299 0.5000
Ag 0.0710 0.8287 0.2422
Ag 0.2343 0.5000 0.7343
Ag 0.4135 0.1713 0.2422
Ag 0.5865 0.8287 0.7578
Ag 0.7657 0.5000 0.2657
Ag 0.9290 0.1713 0.7578

For the total energy, the calculation gives -3.774 eV/atom.

***

Entry 4:
VASP calculation (PBE-GGA) on Ce3ZnRu after structural relaxation.

Lattice parameters (Å, degrees): 6.1224 6.1224 10.5161 118.00 118.00 43.04
Sites, in units of the cell vectors:
Ce 0.1195 0.1195 0.0030
Ce 0.3100 0.3100 0.8040
Ce 0.3512 0.3512 0.4709
Ce 0.6488 0.6488 0.5291
Ce 0.6900 0.6900 0.1960
Ce 0.8805 0.8805 0.9970
Zn 0.4259 0.4259 0.2142
Zn 0.5741 0.5741 0.7858
Ru 0.1005 0.1005 0.3159
Ru 0.8995 0.8995 0.6841

For the total energy, the calculation gives -5.839 eV/atom.

***

Entry 5:
VASP calculation (PBE-GGA) on Cs2NaPt2 after structural relaxation.

Lattice parameters (Å, degrees): 7.7535 7.7535 5.5160 90.00 90.00 90.00
Sites, in units of the cell vectors:
Cs 0.1753 0.3247 0.0000
Cs 0.3247 0.8247 0.0000
Cs 0.6753 0.1753 0.0000
Cs 0.8247 0.6753 0.0000
Na 0.0000 0.0000 0.5000
Na 0.5000 0.5000 0.5000
Pt 0.1170 0.6170 0.5000
Pt 0.3830 0.1170 0.5000
Pt 0.6170 0.8830 0.5000
Pt 0.8830 0.3830 0.5000

For the total energy, the calculation gives -2.888 eV/atom.

***

Entry 6:
VASP calculation (PBE-GGA) on K3SrI after structural relaxation.

Lattice parameters (Å, degrees): 7.9330 7.9330 7.9330 90.00 90.00 90.00
Sites, in units of the cell vectors:
K 0.0000 0.0000 0.5000
K 0.0000 0.5000 0.0000
K 0.5000 0.0000 0.0000
Sr 0.0000 0.0000 0.0000
I 0.5000 0.5000 0.5000

For the total energy, the calculation gives -1.162 eV/atom.

***

Entry 7:
VASP calculation (PBE-GGA) on Sb2Pb after structural relaxation.

Lattice parameters (Å, degrees): 8.4368 8.4368 8.4368 157.54 157.54 31.97
Sites, in units of the cell vectors:
Sb 0.1649 0.1649 0.0000
Sb 0.8351 0.8351 0.0000
Pb 0.5000 0.5000 0.0000

For the total energy, the calculation gives -3.789 eV/atom.

***

Entry 8:
VASP calculation (PBE-GGA) on Pr4Sm5Er3 after structural relaxation.

Lattice parameters (Å, degrees): 8.7209 8.7209 9.4719 114.99 114.99 40.18
Sites, in units of the cell vectors:
Pr 0.0836 0.0836 0.4436
Pr 0.2182 0.2182 0.8792
Pr 0.7818 0.7818 0.1208
Pr 0.9164 0.9164 0.5564
Sm 0.0000 0.0000 0.0000
Sm 0.3286 0.3286 0.6125
Sm 0.4272 0.4272 0.2969
Sm 0.5728 0.5728 0.7031
Sm 0.6714 0.6714 0.3875
Er 0.2099 0.2099 0.2303
Er 0.5000 0.5000 0.0000
Er 0.7901 0.7901 0.7697

For the total energy, the calculation gives -4.487 eV/atom.

***

Entry 9:
VASP calculation (PBE-GGA) on RbTe2N2 after structural relaxation.

Lattice parameters (Å, degrees): 7.2400 7.2400 5.9520 90.00 90.00 90.00
Sites, in units of the cell vectors:
Rb 0.0000 0.0000 0.0000
Te 0.0000 0.5000 0.0000
Te 0.5000 0.0000 0.0000
N 0.0000 0.0000 0.5000
N 0.5000 0.5000 0.5000

For the total energy, the calculation gives -2.396 eV/atom.

***

Entry 10:
VASP calculation (PBE-GGA) on SrNi2As2 after structural relaxation.

Lattice parameters (Å, degrees): 5.6352 5.6352 5.6352 133.64 133.64 67.65
Sites, in units of the cell vectors:
Sr 0.0000 0.0000 0.0000
Ni 0.3558 0.3558 0.0000
Ni 0.6442 0.6442 0.0000
As 0.2500 0.7500 0.5000
As 0.7500 0.2500 0.5000

For the total energy, the calculation gives -5.014 eV/atom.

***

Entry 11:
VASP calculation (PBE-GGA) on Tl2AuN after structural relaxation.

Lattice parameters (Å, degrees): 6.4285 6.4285 6.4285 119.59 119.59 90.70
Sites, in units of the cell vectors:
Tl 0.0583 0.1250 0.4333
Tl 0.3750 0.9417 0.0667
Tl 0.6917 0.6250 0.5667
Tl 0.8750 0.3083 0.9333
Au 0.2500 0.7500 0.5000
Au 0.5000 0.5000 0.0000
N 0.0000 0.0000 0.0000
N 0.7500 0.2500 0.5000

For the total energy, the calculation gives -3.494 eV/atom.

***

Entry 12:
VASP calculation (PBE-GGA) on TaOs2Ru after structural relaxation.

Lattice parameters (Å, degrees): 4.7765 4.7765 2.8058 90.00 90.00 109.18
Sites, in units of the cell vectors:
Ta 0.0000 0.0000 0.0000
Os 0.0000 0.5000 0.5000
Os 0.5000 0.0000 0.5000
Ru 0.5000 0.5000 0.0000

For the total energy, the calculation gives -10.953 eV/atom.

***

For the records above, the corresponding DOS(E_F) values read 0.000; 1.363; 7.967; 19.802; 7.766; 4.890; 1.576; 20.197; 7.942; 1.944; 0.531; 3.306 states/eV per cell.